No. 1
## Pu5U2Si3 (PBE)

Data for crystalline Pu5U2Si3 at its relaxed geometry.

```
Pu5U2Si3
1.0
4.6034 -7.2201 0.0000
4.6034 7.2201 0.0000
-4.5342 0.0000 6.3238
Pu U Si
10 4 6
direct
0.0164 0.9836 0.7500
0.1092 0.4163 0.7461
0.2159 0.7841 0.7500
0.4163 0.1092 0.2461
0.4754 0.5246 0.2500
0.5246 0.4754 0.7500
0.5837 0.8908 0.7539
0.7841 0.2159 0.2500
0.8908 0.5837 0.2539
0.9836 0.0164 0.2500
0.0647 0.2871 0.0026
0.2871 0.0647 0.5026
0.7129 0.9353 0.4974
0.9353 0.7129 0.9974
0.2143 0.4784 0.4380
0.2763 0.7237 0.2500
0.4784 0.2143 0.9380
0.5216 0.7857 0.0620
0.7237 0.2763 0.7500
0.7857 0.5216 0.5620
```

Calculated values
- symmetry = C2/c, No. 15
- raw formation energy (meV/atom) = -111
- total magnetic moment (μB/cell) = 27.60
- total DFT energy (no corrections) (eV/atom) = -11.162

=====

No. 2
## MnPd2 (PBE)

Data for crystalline MnPd2 at its relaxed geometry.

```
MnPd2
1.0
4.2612 -2.0025 0.0000
4.2612 2.0025 0.0000
-1.3096 0.0000 5.3539
Mn Pd
2 4
direct
0.1566 0.1566 0.3137
0.8434 0.8434 0.6863
0.1720 0.1720 0.8167
0.5000 0.5000 0.0000
0.5000 0.5000 0.5000
0.8280 0.8280 0.1833
```

Calculated values
- symmetry = C2/m, No. 12
- total magnetic moment (μB/cell) = 9.24
- calculated formation energy (eV per atom) = -0.23
- total DFT energy (no corrections) (eV/atom) = -6.745

=====

No. 3
## NbHgBr3 (PBE)

Data for crystalline NbHgBr3 at its relaxed geometry.

```
NbHgBr3
1.0
5.3260 0.0000 0.0000
0.0000 5.3260 0.0000
0.0000 0.0000 5.3260
Nb Hg Br
1 1 3
direct
0.0000 0.0000 0.0000
0.5000 0.5000 0.5000
0.0000 0.0000 0.5000
0.0000 0.5000 0.0000
0.5000 0.0000 0.0000
```

Calculated values
- symmetry = Pm-3m, No. 221
- raw formation energy (meV/atom) = -368
- total magnetic moment (μB/cell) = 2.00
- total DFT energy (no corrections) (eV/atom) = -3.446
- relative energy among the computed polymorphs (meV per atom) = 240

=====

No. 4
## Ac12Cd3Co5 (PBE)

Data for crystalline Ac12Cd3Co5 at its relaxed geometry.

```
Ac12Cd3Co5
1.0
-8.9822 8.9822 8.9822
8.9822 -8.9822 8.9822
8.9822 8.9822 -8.9822
Ac Cd Co
48 12 20
direct
0.0223 0.2027 0.1171
0.0223 0.3197 0.9053
0.0856 0.7027 0.6803
0.0856 0.8829 0.4053
0.0947 0.6171 0.4144
0.0947 0.9777 0.6803
0.1171 0.0223 0.2027
0.1171 0.5947 0.9144
0.1803 0.2027 0.5856
0.1803 0.4777 0.5947
0.2027 0.1171 0.0223
0.2027 0.5856 0.1803
0.2973 0.3197 0.9144
0.2973 0.4777 0.3829
0.3197 0.9053 0.0223
0.3197 0.9144 0.2973
0.3829 0.2973 0.4777
0.3829 0.5856 0.9053
0.4053 0.0856 0.8829
0.4053 0.8197 0.5223
0.4144 0.0947 0.6171
0.4144 0.8197 0.7973
0.4777 0.3829 0.2973
0.4777 0.5947 0.1803
0.5223 0.4053 0.8197
0.5223 0.6171 0.7027
0.5856 0.1803 0.2027
0.5856 0.9053 0.3829
0.5947 0.1803 0.4777
0.5947 0.9144 0.1171
0.6171 0.4144 0.0947
0.6171 0.7027 0.5223
0.6803 0.0856 0.7027
0.6803 0.0947 0.9777
0.7027 0.5223 0.6171
0.7027 0.6803 0.0856
0.7973 0.4144 0.8197
0.7973 0.8829 0.9777
0.8197 0.5223 0.4053
0.8197 0.7973 0.4144
0.8829 0.4053 0.0856
0.8829 0.9777 0.7973
0.9053 0.0223 0.3197
0.9053 0.3829 0.5856
0.9144 0.1171 0.5947
0.9144 0.2973 0.3197
0.9777 0.6803 0.0947
0.9777 0.7973 0.8829
0.1250 0.2500 0.3750
0.1250 0.3750 0.7500
0.2500 0.3750 0.1250
0.2500 0.8750 0.6250
0.3750 0.1250 0.2500
0.3750 0.7500 0.1250
0.6250 0.2500 0.8750
0.6250 0.8750 0.7500
0.7500 0.1250 0.3750
0.7500 0.6250 0.8750
0.8750 0.6250 0.2500
0.8750 0.7500 0.6250
0.0000 0.0000 0.0000
0.0000 0.0000 0.5000
0.0000 0.5000 0.0000
0.0000 0.5000 0.5000
0.1250 0.7500 0.8750
0.1250 0.8750 0.2500
0.2500 0.1250 0.8750
0.2500 0.6250 0.3750
0.3750 0.2500 0.6250
0.3750 0.6250 0.7500
0.5000 0.0000 0.0000
0.5000 0.0000 0.5000
0.5000 0.5000 0.0000
0.5000 0.5000 0.5000
0.6250 0.3750 0.2500
0.6250 0.7500 0.3750
0.7500 0.3750 0.6250
0.7500 0.8750 0.1250
0.8750 0.1250 0.7500
0.8750 0.2500 0.1250
```

Calculated values
- symmetry = Ia-3d, No. 230
- total magnetic moment (μB/cell) = 0.00
- calculated formation energy (eV per atom) = 0.08
- total DFT energy (no corrections) (eV/atom) = -4.295

=====

No. 5
## Sn2SeF (PBE)

Data for crystalline Sn2SeF at its relaxed geometry.

```
Sn2SeF
1.0
-3.7268 3.7268 3.3140
3.7268 -3.7268 3.3140
3.7268 3.7268 -3.3140
Sn Se F
4 2 2
direct
0.0952 0.6250 0.9702
0.3750 0.3452 0.4702
0.6548 0.1250 0.0298
0.8750 0.9048 0.5298
0.2500 0.7500 0.5000
0.5000 0.5000 0.0000
0.0000 0.0000 0.0000
0.7500 0.2500 0.5000
```

Calculated values
- symmetry = I-42d, No. 122
- raw formation energy (meV/atom) = -814
- total magnetic moment (μB/cell) = 0.00
- total DFT energy (no corrections) (eV/atom) = -4.155
- relative energy among the computed polymorphs (meV per atom) = 66

=====

No. 6
## CsRb2InPb (PBE)

Data for crystalline CsRb2InPb at its relaxed geometry.

```
CsRb2InPb
1.0
7.2020 0.0000 0.0000
0.0000 7.2020 0.0000
0.0000 0.0000 5.8664
Cs Rb In Pb
1 2 1 1
direct
0.0000 0.0000 0.0000
0.0000 0.5000 0.5000
0.5000 0.0000 0.5000
0.5000 0.5000 0.5000
0.5000 0.5000 0.0000
```

Calculated values
- symmetry = P4/mmm, No. 123
- total magnetic moment (μB/cell) = 0.42
- calculated formation energy (eV per atom) = 0.03
- total DFT energy (no corrections) (eV/atom) = -1.820
- relative energy among the computed polymorphs (meV per atom) = 0

=====

No. 7
## KPmScBr6 (PBE)

Data for crystalline KPmScBr6 at its relaxed geometry.

```
KPmScBr6
1.0
7.1884 0.0000 0.0000
-3.5942 6.2253 0.0000
0.0000 0.0000 15.0744
K Pm Sc Br
2 2 2 12
direct
0.0000 0.0000 0.0000
0.0000 0.0000 0.5000
0.3333 0.6667 0.2500
0.6667 0.3333 0.7500
0.3333 0.6667 0.7500
0.6667 0.3333 0.2500
0.0166 0.3693 0.6410
0.0166 0.6473 0.8590
0.3527 0.3693 0.8590
0.3527 0.9834 0.6410
0.3693 0.0166 0.1410
0.3693 0.3527 0.3590
0.6307 0.6473 0.6410
0.6307 0.9834 0.8590
0.6473 0.0166 0.3590
0.6473 0.6307 0.1410
0.9834 0.3527 0.1410
0.9834 0.6307 0.3590
```

Calculated values
- symmetry = P-31c, No. 163
- raw formation energy (meV/atom) = -1713
- total magnetic moment (μB/cell) = 2.07
- total DFT energy (no corrections) (eV/atom) = -4.182

=====

No. 8
## MgCoRu2 (PBE)

Data for crystalline MgCoRu2 at its relaxed geometry.

```
MgCoRu2
1.0
0.0000 3.0293 3.0293
3.0293 0.0000 3.0293
3.0293 3.0293 0.0000
Mg Co Ru
1 1 2
direct
0.0000 0.0000 0.0000
0.7500 0.7500 0.7500
0.2500 0.2500 0.2500
0.5000 0.5000 0.5000
```

Calculated values
- symmetry = F-43m, No. 216
- total magnetic moment (μB/cell) = 2.32
- calculated formation energy (eV per atom) = 0.21
- total DFT energy (no corrections) (eV/atom) = -6.607

=====

No. 9
## Rb2SrCaCl6 (PBE)

Data for crystalline Rb2SrCaCl6 at its relaxed geometry.

```
Rb2SrCaCl6
1.0
7.6314 0.0000 0.0000
0.0000 7.8805 0.0000
-7.5957 0.0000 10.9294
Rb Sr Ca Cl
4 2 2 12
direct
0.2324 0.0562 0.2498
0.2324 0.4438 0.7498
0.7676 0.5562 0.2502
0.7676 0.9438 0.7502
0.5000 0.0000 0.0000
0.5000 0.5000 0.5000
0.0000 0.0000 0.5000
0.0000 0.5000 0.0000
0.1513 0.2138 0.9530
0.1513 0.2862 0.4530
0.2432 0.7014 0.9550
0.2432 0.7986 0.4550
0.3309 0.0252 0.7432
0.3309 0.4748 0.2432
0.6691 0.5252 0.7568
0.6691 0.9748 0.2568
0.7568 0.2014 0.5450
0.7568 0.2986 0.0450
0.8487 0.7138 0.5470
0.8487 0.7862 0.0470
```

Calculated values
- symmetry = P2_1/c, No. 14
- raw formation energy (meV/atom) = -2267
- total magnetic moment (μB/cell) = 0.00
- total DFT energy (no corrections) (eV/atom) = -3.937
- relative energy among the computed polymorphs (meV per atom) = 0

=====

No. 10
## CaSb2Cl (PBE)

Data for crystalline CaSb2Cl at its relaxed geometry.

```
CaSb2Cl
1.0
3.9078 0.0000 0.0000
0.0000 2.0632 7.1424
0.0000 -2.0632 7.1424
Ca Sb Cl
1 2 1
direct
0.0000 0.0000 0.0000
0.0000 0.7586 0.7586
0.5000 0.1875 0.1875
0.5000 0.4633 0.4633
```

Calculated values
- symmetry = Amm2, No. 38
- raw formation energy (meV/atom) = -971
- total magnetic moment (μB/cell) = 0.00
- total DFT energy (no corrections) (eV/atom) = -3.994
- relative energy among the computed polymorphs (meV per atom) = 0

=====

No. 11
## La3Sm3TmS8 (PBE)

Data for crystalline La3Sm3TmS8 at its relaxed geometry.

```
La3Sm3TmS8
1.0
4.0367 2.3306 6.7138
-4.0367 2.3306 6.7138
0.0000 -4.6612 6.7138
La Sm Tm S
3 3 1 8
direct
0.0000 0.5000 0.5000
0.5000 0.0000 0.5000
0.5000 0.5000 0.0000
0.0000 0.0000 0.5000
0.0000 0.5000 0.0000
0.5000 0.0000 0.0000
0.5000 0.5000 0.5000
0.2467 0.2467 0.2467
0.2544 0.7391 0.7391
0.2609 0.2609 0.7456
0.2609 0.7456 0.2609
0.7391 0.2544 0.7391
0.7391 0.7391 0.2544
0.7456 0.2609 0.2609
0.7533 0.7533 0.7533
```

Calculated values
- symmetry = R-3m, No. 166
- raw formation energy (meV/atom) = -2109
- total magnetic moment (μB/cell) = 0.00
- total DFT energy (no corrections) (eV/atom) = -6.538

=====

No. 12
## Tl2FeIr (PBE)

Data for crystalline Tl2FeIr at its relaxed geometry.

```
Tl2FeIr
1.0
0.0000 3.3910 3.3910
3.3910 0.0000 3.3910
3.3910 3.3910 0.0000
Tl Fe Ir
2 1 1
direct
0.0000 0.0000 0.0000
0.2500 0.2500 0.2500
0.7500 0.7500 0.7500
0.5000 0.5000 0.5000
```

Calculated values
- symmetry = F-43m, No. 216
- total magnetic moment (μB/cell) = 3.67
- calculated formation energy (eV per atom) = 0.75
- total DFT energy (no corrections) (eV/atom) = -4.763
- relative energy among the computed polymorphs (meV per atom) = 398